[1]
The following is a DFT calculation (PBE) of a geometry-optimized BaBi2Rh2 structure.

Properties
Symmetry = P4/mbm (127)
Formation energy = -0.428 eV per formula unit
DOS(E_F) = 3.52 states/eV/cell
Spin magnetization = 0.0 Bohr magnetons per cell

Lattice parameters (Å, degrees): 8.630 8.630 3.397 90.00 90.00 90.00
Fractional coordinates of all 10 atoms:
Rh  0.127  0.627  0.500
Rh  0.627  0.873  0.500
Rh  0.373  0.127  0.500
Rh  0.873  0.373  0.500
Bi  0.862  0.638  0.000
Bi  0.362  0.862  0.000
Bi  0.138  0.362  0.000
Bi  0.638  0.138  0.000
Ba  0.500  0.500  0.000
Ba  0.000  0.000  0.000

***

[2]
The following is a DFT calculation (PBE) of a geometry-optimized BaBi3Rh structure.

Properties
Symmetry = Pm-3m (221)
Formation energy = 7.731 eV per formula unit
DOS(E_F) = 8.98 states/eV/cell
Spin magnetization = 1.8 Bohr magnetons per cell
Polymorph energy (0 for the lowest one) = 1984.0 meV per atom

Lattice parameters (Å, degrees): 6.251 6.251 6.251 90.00 90.00 90.00
Last column: magnetic moment on the atom in μB.
Fractional coordinates of all 5 atoms:
Ba  0.000  0.000  0.000  0.03
Bi  0.500  0.000  0.000  0.04
Bi  0.000  0.500  0.000  0.05
Bi  0.000  0.000  0.500  0.07
Rh  0.500  0.500  0.500  1.43

***

[3]
The following is a DFT calculation (PBE) of a geometry-optimized BaBi5Rh3 structure.

Properties
Symmetry = C2/m (12)
Formation energy = -2.039 eV per formula unit
DOS(E_F) = 9.55 states/eV/cell
Spin magnetization = 0.0 Bohr magnetons per cell

Lattice parameters (Å, degrees): 7.616 7.616 9.990 73.16 73.16 67.67
Fractional coordinates of all 18 atoms:
Rh  0.663  0.663  0.822
Rh  0.582  0.582  0.170
Rh  0.000  0.000  0.500
Rh  0.418  0.418  0.830
Rh  0.337  0.337  0.178
Rh  0.000  0.000  0.000
Bi  0.206  0.206  0.019
Bi  0.399  0.399  0.410
Bi  0.794  0.794  0.981
Bi  0.636  0.081  0.677
Bi  0.364  0.919  0.323
Bi  0.691  0.309  0.000
Bi  0.081  0.636  0.677
Bi  0.309  0.691  0.000
Bi  0.601  0.601  0.590
Bi  0.919  0.364  0.323
Ba  0.136  0.136  0.684
Ba  0.864  0.864  0.316

***

[4]
The following is a DFT calculation (PBE) of a geometry-optimized BaBi3Rh3 structure.

Properties
Symmetry = Pm-3n (223)
Formation energy = -0.744 eV per formula unit
DOS(E_F) = 13.56 states/eV/cell
Spin magnetization = 0.0 Bohr magnetons per cell
Polymorph energy (0 for the lowest one) = 82.3 meV per atom

Lattice parameters (Å, degrees): 7.481 7.481 7.481 90.00 90.00 90.00
Fractional coordinates of all 14 atoms:
Ba  0.000  0.000  0.000
Ba  0.500  0.500  0.500
Rh  0.000  0.500  0.250
Rh  0.500  0.250  0.000
Rh  0.500  0.750  0.000
Rh  0.250  0.000  0.500
Rh  0.750  0.000  0.500
Rh  0.000  0.500  0.750
Bi  0.500  0.000  0.750
Bi  0.000  0.750  0.500
Bi  0.750  0.500  0.000
Bi  0.500  0.000  0.250
Bi  0.250  0.500  0.000
Bi  0.000  0.250  0.500

***

[5]
The following is a DFT calculation (PBE) of a geometry-optimized BaBi3Rh structure.

Properties
Symmetry = Pm-3m (221)
Formation energy = -1.014 eV per formula unit
DOS(E_F) = 6.74 states/eV/cell
Spin magnetization = 0.0 Bohr magnetons per cell
Polymorph energy (0 for the lowest one) = 235.2 meV per atom

Lattice parameters (Å, degrees): 5.486 5.486 5.486 90.00 90.00 90.00
Fractional coordinates of all 5 atoms:
Ba  0.500  0.500  0.500
Bi  0.500  0.000  0.000
Bi  0.000  0.500  0.000
Bi  0.000  0.000  0.500
Rh  0.000  0.000  0.000

***

[6]
The following is a DFT calculation (PBE) of a geometry-optimized Ba4BiRh structure.

Properties
Symmetry = C2/c (15)
Formation energy = -2.584 eV per formula unit
DOS(E_F) = 10.72 states/eV/cell
Spin magnetization = 0.0 Bohr magnetons per cell

Lattice parameters (Å, degrees): 7.556 9.261 9.255 114.03 107.10 103.19
Fractional coordinates of all 12 atoms:
Rh  0.747  0.997  0.995
Rh  0.253  0.003  0.005
Ba  0.797  0.719  0.663
Ba  0.978  0.782  0.126
Ba  0.352  0.656  0.874
Ba  0.203  0.281  0.337
Ba  0.633  0.055  0.337
Ba  0.022  0.218  0.874
Ba  0.648  0.344  0.126
Ba  0.367  0.945  0.663
Bi  0.382  0.632  0.264
Bi  0.618  0.368  0.736

***

[7]
The following is a DFT calculation (PBE) of a geometry-optimized BaBi3Rh structure.

Properties
Symmetry = Pnma (62)
Formation energy = -2.043 eV per formula unit
DOS(E_F) = 8.73 states/eV/cell
Spin magnetization = 0.0 Bohr magnetons per cell
Polymorph energy (0 for the lowest one) = 29.3 meV per atom

Lattice parameters (Å, degrees): 4.755 10.129 12.747 90.00 90.00 90.00
Fractional coordinates of all 20 atoms:
Ba  0.250  0.696  0.519
Ba  0.750  0.804  0.019
Ba  0.750  0.304  0.481
Ba  0.250  0.196  0.981
Bi  0.750  0.628  0.304
Bi  0.750  0.440  0.923
Bi  0.250  0.345  0.262
Bi  0.750  0.655  0.738
Bi  0.750  0.128  0.196
Bi  0.250  0.372  0.696
Bi  0.750  0.155  0.762
Bi  0.250  0.060  0.423
Bi  0.750  0.940  0.577
Bi  0.250  0.560  0.077
Bi  0.250  0.845  0.238
Bi  0.250  0.872  0.804
Rh  0.750  0.923  0.351
Rh  0.250  0.577  0.851
Rh  0.250  0.077  0.649
Rh  0.750  0.423  0.149

***

[8]
The following is a DFT calculation (PBE) of a geometry-optimized BaBiRh3 structure.

Properties
Symmetry = Pm-3m (221)
Formation energy = 1.879 eV per formula unit
DOS(E_F) = 1.60 states/eV/cell
Spin magnetization = 0.0 Bohr magnetons per cell
Polymorph energy (0 for the lowest one) = 0.0 meV per atom

Lattice parameters (Å, degrees): 5.083 5.083 5.083 90.00 90.00 90.00
Fractional coordinates of all 5 atoms:
Rh  0.500  0.000  0.000
Rh  0.000  0.000  0.500
Rh  0.000  0.500  0.000
Bi  0.000  0.000  0.000
Ba  0.500  0.500  0.500

***

[9]
The following is a DFT calculation (PBE) of a geometry-optimized BaBi2Rh2 structure.

Properties
Symmetry = Pnma (62)
Formation energy = -2.010 eV per formula unit
DOS(E_F) = 13.75 states/eV/cell
Spin magnetization = 0.0 Bohr magnetons per cell

Lattice parameters (Å, degrees): 4.589 10.301 11.454 90.00 90.00 90.00
Fractional coordinates of all 20 atoms:
Rh  0.750  0.917  0.460
Rh  0.750  0.984  0.902
Rh  0.750  0.484  0.598
Rh  0.250  0.583  0.960
Rh  0.250  0.016  0.098
Rh  0.750  0.417  0.040
Rh  0.250  0.516  0.402
Rh  0.250  0.083  0.540
Ba  0.750  0.751  0.137
Ba  0.250  0.749  0.637
Ba  0.250  0.249  0.863
Ba  0.750  0.251  0.363
Bi  0.750  0.047  0.668
Bi  0.750  0.547  0.832
Bi  0.750  0.153  0.081
Bi  0.250  0.453  0.168
Bi  0.250  0.847  0.919
Bi  0.250  0.953  0.332
Bi  0.250  0.347  0.581
Bi  0.750  0.653  0.419

***

[10]
The following is a DFT calculation (PBE) of a geometry-optimized Ba2Bi6Rh structure.

Properties
Symmetry = C2/m (12)
Formation energy = -4.091 eV per formula unit
DOS(E_F) = 4.80 states/eV/cell
Spin magnetization = 0.0 Bohr magnetons per cell

Lattice parameters (Å, degrees): 6.275 7.348 7.348 59.98 90.00 90.00
Fractional coordinates of all 9 atoms:
Bi  0.287  0.831  0.831
Bi  0.713  0.169  0.169
Bi  0.287  0.830  0.338
Bi  0.713  0.170  0.662
Bi  0.287  0.338  0.830
Bi  0.713  0.662  0.170
Ba  0.216  0.333  0.333
Ba  0.784  0.667  0.667
Rh  0.000  0.000  0.000

***

[11]
The following is a DFT calculation (PBE) of a geometry-optimized BaBi2Rh3 structure.

Properties
Symmetry = C2/m (12)
Formation energy = -1.693 eV per formula unit
DOS(E_F) = 11.67 states/eV/cell
Spin magnetization = 0.0 Bohr magnetons per cell

Lattice parameters (Å, degrees): 4.304 8.752 8.743 112.96 90.00 104.23
Fractional coordinates of all 12 atoms:
Rh  0.044  0.088  0.403
Rh  0.577  0.153  0.637
Rh  0.956  0.912  0.597
Rh  0.310  0.620  0.535
Rh  0.690  0.380  0.465
Rh  0.423  0.847  0.363
Bi  0.466  0.932  0.788
Bi  0.192  0.384  0.680
Bi  0.808  0.616  0.320
Bi  0.534  0.068  0.212
Ba  0.853  0.706  0.950
Ba  0.147  0.294  0.050

***

[12]
The following is a DFT calculation (PBE) of a geometry-optimized BaBi2Rh2 structure.

Properties
Symmetry = I4/mmm (139)
Formation energy = -1.717 eV per formula unit
DOS(E_F) = 2.84 states/eV/cell
Spin magnetization = 0.0 Bohr magnetons per cell

Lattice parameters (Å, degrees): 4.978 4.978 6.328 66.84 66.84 90.00
Fractional coordinates of all 5 atoms:
Ba  0.000  0.000  0.000
Bi  0.750  0.250  0.500
Bi  0.250  0.750  0.500
Rh  0.629  0.629  0.742
Rh  0.371  0.371  0.258

***

Look up the spin magnetization of the third one.
0.0 Bohr magnetons per cell